BiHNF2 after structural relaxation, computed with PBE-GGA.

Properties
distance to the lowest polymorph of the same formula: 138 meV/atom

Geometry as POSCAR:
```
BiHNF2
1.0
-3.771 -2.021 -1.649
0.168 -3.080 3.393
-2.783 2.919 2.788
F N Bi H
2 1 1 1
Direct
0.500 0.000 0.000 F
0.000 0.500 0.000 F
0.000 0.000 0.500 N
0.000 0.000 0.000 Bi
0.500 0.500 0.500 H
```

=====

RbCrCl3 after structural relaxation, computed with PBE-GGA.

Properties
E_form (uncorrected): -1278 meV/atom

Geometry as POSCAR:
```
RbCrCl3
1.0
-2.423 0.416 4.212
3.343 -9.248 -5.394
8.479 3.146 -1.081
Cl Cr Rb
6 2 2
Direct
0.046 0.004 0.083 Cl
0.491 0.442 0.381 Cl
0.913 0.442 0.802 Cl
0.573 0.723 0.536 Cl
0.965 0.723 0.928 Cl
0.625 0.004 0.662 Cl
0.568 0.805 0.773 Cr
0.969 0.640 0.691 Cr
0.947 0.060 0.401 Rb
0.590 0.385 0.063 Rb
```

=====

FeOsSe2 after structural relaxation, computed with PBE-GGA.

Properties
distance to the lowest polymorph of the same formula: 198 meV/atom
E_form (uncorrected): 183 meV/atom

Geometry as POSCAR:
```
FeOsSe2
1.0
2.966 0.000 0.000
0.000 2.966 0.000
0.000 0.000 7.987
Os Fe Se
1 1 2
Direct
0.500 0.500 0.738 Os
0.000 0.000 0.501 Fe
0.000 0.000 0.915 Se
0.500 0.500 0.345 Se
```

=====

TeH2S2 after structural relaxation, computed with PBE-GGA.

Properties
distance to the lowest polymorph of the same formula: 0 meV/atom

Geometry as POSCAR:
```
TeH2S2
1.0
7.107 0.000 -3.092
-1.345 6.979 -3.092
-0.832 -1.008 7.801
S H Te
4 4 2
Direct
0.223 0.978 0.447 S
0.219 0.473 0.947 S
0.223 0.469 0.447 S
0.728 0.473 0.947 S
0.921 0.574 0.148 H
0.324 0.171 0.648 H
0.324 0.477 0.648 H
0.227 0.574 0.148 H
0.086 0.086 0.172 Te
0.836 0.336 0.672 Te
```

=====

PrErPa2As4 after structural relaxation, computed with PBE-GGA.

Properties
final energy: -7.127 eV per atom

Geometry as POSCAR:
```
PrErPa2As4
1.0
4.138 0.000 0.000
0.000 7.169 -0.143
0.000 2.522 6.714
As Pa Er Pr
4 2 1 1
Direct
0.500 0.245 0.746 As
0.000 0.240 0.260 As
0.000 0.760 0.740 As
0.500 0.755 0.254 As
0.500 0.000 0.500 Pa
0.000 0.000 0.000 Pa
0.000 0.500 0.500 Er
0.500 0.500 0.000 Pr
```

=====

Cd6Ir after structural relaxation, computed with PBE-GGA.

Properties
final energy: -2.070 eV per atom

Geometry as POSCAR:
```
Cd6Ir
1.0
-3.413 0.898 4.318
-2.615 -4.496 -2.013
5.518 -5.692 5.546
Cd Ir
12 2
Direct
0.679 0.321 0.500 Cd
0.035 0.417 0.250 Cd
0.850 0.850 0.088 Cd
0.583 0.965 0.750 Cd
0.150 0.150 0.588 Cd
0.150 0.150 0.912 Cd
0.965 0.583 0.750 Cd
0.321 0.679 0.500 Cd
0.417 0.035 0.250 Cd
0.321 0.679 0.000 Cd
0.850 0.850 0.412 Cd
0.679 0.321 0.000 Cd
0.459 0.459 0.750 Ir
0.541 0.541 0.250 Ir
```

=====

K2MgSbPt after structural relaxation, computed with PBE-GGA.

Properties
E_form (uncorrected): 593 meV/atom

Geometry as POSCAR:
```
K2MgSbPt
1.0
6.621 0.000 0.000
0.000 4.949 0.000
0.000 0.000 6.621
Sb Pt K Mg
1 1 2 1
Direct
0.000 0.500 0.000 Sb
0.500 0.500 0.500 Pt
0.500 0.000 0.000 K
0.000 0.000 0.500 K
0.000 0.000 0.000 Mg
```

=====

ZnSi2Rh after structural relaxation, computed with PBE-GGA.

Properties
E_form (uncorrected): 4 meV/atom

Geometry as POSCAR:
```
ZnSi2Rh
1.0
-2.256 2.575 1.945
1.282 -1.347 3.270
2.804 2.507 -0.067
Si Zn Rh
2 1 1
Direct
0.000 0.000 0.000 Si
0.000 0.500 0.500 Si
0.500 0.500 0.000 Zn
0.500 0.000 0.500 Rh
```

=====

SmHf2Al6 after structural relaxation, computed with PBE-GGA.

Properties
distance to the lowest polymorph of the same formula: 0 meV/atom

Geometry as POSCAR:
```
SmHf2Al6
1.0
3.227 0.000 0.000
0.000 6.768 -3.908
0.000 0.000 7.815
Al Hf Sm
6 2 1
Direct
0.500 0.661 0.661 Al
0.500 0.339 0.339 Al
0.500 0.661 0.000 Al
0.500 0.000 0.661 Al
0.500 0.000 0.339 Al
0.500 0.339 0.000 Al
0.000 0.667 0.333 Hf
0.000 0.333 0.667 Hf
0.000 0.000 0.000 Sm
```